This record from Alexandria describes a crystal of Gd5AgSe8 relaxed with PBEsol. The functional is meta-GGA SCAN.

Calculated values
The value obtained for the density of states at the Fermi level is 0.0000 states/eV per atom. The final energy is -36.539 eV/atom. The value obtained for the raw formation energy is -1820 meV per atom.

Cell and atoms, written as POSCAR:
```
Gd5AgSe8
1.0
-4.285 4.285 4.350
4.285 -4.285 4.350
4.285 4.285 -4.350
Gd Ag Se
5 1 8
Direct
0.000 0.000 0.000
0.134 0.253 0.622
0.488 0.866 0.119
0.631 0.512 0.378
0.747 0.369 0.881
0.250 0.750 0.500
0.013 0.617 0.759
0.227 0.477 0.112
0.364 0.115 0.888
0.383 0.142 0.396
0.523 0.636 0.750
0.746 0.987 0.604
0.858 0.254 0.241
0.885 0.773 0.250
```